MnNiN3: optimized geometry, PBE. Values from VASP.

Structure (Quantum ESPRESSO input):
```
&SYSTEM
  ibrav = 0, nat = 5, ntyp = 3
/
ATOMIC_SPECIES
N 14.01 N.upf
Ni 58.69 Ni.upf
Mn 54.94 Mn.upf
ATOMIC_POSITIONS crystal
N 0.000 0.000 0.500
N 0.500 0.000 0.000
N 0.000 0.500 0.000
Ni 0.500 0.500 0.500
Mn 0.000 0.000 0.000
CELL_PARAMETERS angstrom
3.621 0.000 0.000
0.000 3.621 0.000
0.000 0.000 3.621
```

Formation energy from raw total energies in meV/atom: 1213
Size of the total moment in μB per atom: 0.00
Space-group type: Pm-3m, No. 221